3
Lattice="0.000 3.462 3.462 3.462 0.000 3.462 3.462 3.462 0.000" Properties=species:S:1:pos:R:3 comment="RbAgOs | OQMD via LeMat-Bulk | PBE-GGA | relaxed" de_polymorph_mev_per_atom=0 spacegroup="F-43m (216)" pbc="T T T"
Rb 0.000 0.000 0.000
Ag 3.462 3.462 3.462
Os 5.193 5.193 5.193